First-principles (GGA-PBEsol) data for CaMn2Ag after structural relaxation, as listed in the Alexandria database.

extended XYZ file:
```
4
Lattice="-1.564 0.919 4.374 -4.638 0.531 0.794 -2.384 -3.309 2.406" Properties=species:S:1:pos:R:3 pbc="T T T"
Ca -2.146 -0.465 1.893
Mn -6.439 -1.394 5.680
Mn 0.000 0.000 0.000
Ag -4.293 -0.929 3.787
```

Calculated values
Magnetic moment   7.834 μB per cell
SG   No. 216
Final energy   -22.6 eV per formula unit
ΔE_f   58 kJ per mole of atoms
DOS(E_F)   4.272 states/eV/f.u.

---

First-principles (GGA-PBEsol) data for SrSb2CN after structural relaxation, as listed in the Alexandria database.

extended XYZ file:
```
5
Lattice="4.613 0.000 0.000 0.000 4.613 0.000 0.000 0.000 4.618" Properties=species:S:1:pos:R:3 pbc="T T T"
N 0.000 0.000 0.000
Sb 2.307 0.000 0.000
Sb 0.000 2.307 0.000
Sr 2.307 2.307 2.309
C 0.000 0.000 2.309
```

Calculated values
Raw formation energy   27.3 kcal/mol of atoms
Magnetic moment   0.202 μB per cell
SG   No. 123
Final energy   -23.2 eV per formula unit
DOS(E_F)   4.271 states/eV/f.u.

---

First-principles (GGA-PBEsol) data for Na4Zr2Si3O12 after structural relaxation, as listed in the Alexandria database.

extended XYZ file:
```
42
Lattice="9.072 -0.035 -0.025 4.404 7.932 -0.025 4.404 2.581 7.500" Properties=species:S:1:pos:R:3 pbc="T T T"
O 9.175 6.312 0.024
O 6.444 2.643 0.888
O 9.754 1.157 1.964
O 10.313 5.251 5.714
O 11.103 3.026 6.977
O 6.312 6.981 5.955
O 5.777 4.463 6.859
O 11.375 7.800 6.537
O 6.717 7.417 0.448
O 8.644 4.130 7.401
O 8.066 9.285 5.462
O 11.253 5.517 3.084
O 9.991 1.637 4.639
O 6.566 4.925 4.343
O 7.506 5.192 1.712
O 12.364 8.181 3.626
O 9.622 7.509 4.198
O 12.043 5.980 0.568
O 5.455 2.261 3.799
O 4.639 4.788 2.204
O 8.199 2.933 3.227
O 11.507 3.462 1.471
O 13.181 5.654 5.222
O 7.828 8.804 2.787
Zr 2.580 1.512 1.075
Zr 15.240 8.931 6.351
Zr 11.520 6.751 4.801
Zr 6.300 3.692 2.625
Si 8.844 8.941 4.064
Si 8.976 1.501 3.361
Si 12.123 4.937 1.826
Si 7.587 6.038 0.314
Si 5.696 5.505 5.601
Si 10.233 4.404 7.111
Na 6.020 6.918 2.844
Na 8.977 3.300 0.834
Na 7.267 2.829 5.601
Na 8.845 7.145 6.594
Na 8.910 5.221 3.713
Na 10.556 7.615 1.826
Na 17.850 10.460 7.439
Na 11.803 3.526 4.584
```

Calculated values
Raw formation energy   -63.8 kcal/mol of atoms
Magnetic moment   0.001 μB per cell
SG   No. 167
Final energy   -162.1 eV per formula unit
DOS(E_F)   0.000 states/eV/f.u.